Record 1
The following is a PBE calculation of crystalline TaRh2Pb at its relaxed geometry, from the Alexandria database.

```
4
Lattice="3.214 0.000 0.000 0.000 4.552 -0.029 0.000 1.996 4.856" Properties=species:S:1:pos:R:3 pbc="T T T"
Ta 1.607 2.276 -0.015
Rh 0.000 0.000 0.000
Rh 1.607 0.998 2.428
Pb 0.000 3.274 2.413
```



Record 2
The following is a PBE calculation of crystalline TaRh2Pb at its relaxed geometry, from the Alexandria database.

```
8
Lattice="-4.723 0.553 5.553 4.182 -4.465 4.002 1.207 0.348 5.805" Properties=species:S:1:pos:R:3 pbc="T T T"
Pb 0.000 0.000 0.000
Pb -1.894 -0.527 8.067
Rh -1.939 -0.147 5.200
Rh 2.136 -2.612 4.869
Rh 0.869 -1.384 8.097
Rh 0.264 -2.983 12.554
Ta -0.271 -1.956 4.777
Ta 2.559 -3.036 7.292
```



Record 3
The following is a PBE calculation of crystalline TaRh2Pb at its relaxed geometry, from the Alexandria database.

```
4
Lattice="3.218 0.000 0.000 0.000 3.218 0.000 0.000 0.000 7.163" Properties=species:S:1:pos:R:3 pbc="T T T"
Ta 1.609 1.609 0.000
Rh 0.000 0.000 5.733
Rh 0.000 0.000 1.430
Pb 1.609 1.609 3.581
```



Record 4
The following is a PBE calculation of crystalline Ta2RhPb at its relaxed geometry, from the Alexandria database.

```
4
Lattice="2.194 0.070 4.639 -4.362 -2.704 -0.018 1.549 -2.494 -0.695" Properties=species:S:1:pos:R:3 pbc="T T T"
Ta 1.097 0.035 2.320
Ta -2.181 -1.352 -0.009
Rh -0.309 -2.564 1.963
Pb 0.775 -1.247 -0.347
```



Record 5
The following is a PBE calculation of crystalline Ta2RhPb at its relaxed geometry, from the Alexandria database.

```
4
Lattice="0.000 3.337 3.337 3.337 0.000 3.337 3.337 3.337 0.000" Properties=species:S:1:pos:R:3 pbc="T T T"
Ta 0.000 0.000 0.000
Ta 5.005 5.005 5.005
Rh 1.668 1.668 1.668
Pb 3.337 3.337 3.337
```



Record 6
The following is a PBE calculation of crystalline TaRhPb2 at its relaxed geometry, from the Alexandria database.

Summary:
The distance to the lowest polymorph of the same formula is 436 meV/atom.

```
4
Lattice="0.471 2.287 2.160 -1.270 1.508 -2.496 -7.747 -1.355 3.124" Properties=species:S:1:pos:R:3 pbc="T T T"
Ta -0.400 1.898 -0.168
Rh -4.273 1.220 1.394
Pb -2.081 -0.364 0.839
Pb -5.666 -0.991 2.285
```



Record 7
The following is a PBE calculation of crystalline TaRhPb2 at its relaxed geometry, from the Alexandria database.

Summary:
The distance to the lowest polymorph of the same formula is 424 meV/atom.

```
4
Lattice="9.190 -1.617 0.003 9.190 1.617 0.003 8.904 0.000 2.789" Properties=species:S:1:pos:R:3 pbc="T T T"
Ta 0.000 0.000 0.000
Rh 13.642 0.000 1.397
Pb 20.646 0.000 2.114
Pb 6.638 0.000 0.680
```



Record 8
The following is a PBE calculation of crystalline Ta2RhPb at its relaxed geometry, from the Alexandria database.

```
4
Lattice="-1.995 1.995 4.576 1.995 -1.995 4.576 1.995 1.995 -4.576" Properties=species:S:1:pos:R:3 pbc="T T T"
Ta 0.000 1.995 2.288
Ta 1.995 0.000 2.288
Rh 0.000 0.000 0.000
Pb 0.000 0.000 4.576
```



Record 9
The following is a PBE calculation of crystalline TaRhPb2 at its relaxed geometry, from the Alexandria database.

Summary:
The distance to the lowest polymorph of the same formula is 460 meV/atom.

```
4
Lattice="-2.791 -0.060 1.582 1.510 -1.065 2.624 1.181 7.499 2.366" Properties=species:S:1:pos:R:3 pbc="T T T"
Ta -0.051 3.187 3.286
Rh -0.641 -0.562 2.103
Pb 0.912 5.790 1.827
Pb 0.269 1.709 0.539
```



Record 10
The following is a PBE calculation of crystalline TaRh2Pb at its relaxed geometry, from the Alexandria database.

```
4
Lattice="2.232 -4.634 0.218 0.788 -1.651 4.812 -4.030 1.853 -2.614" Properties=species:S:1:pos:R:3 pbc="T T T"
Ta 1.520 -3.163 2.531
Rh 0.002 -0.005 0.004
Rh -0.156 -2.936 0.038
Pb -0.865 -1.472 2.358
```



Record 11
The following is a PBE calculation of crystalline TaRh2Pb at its relaxed geometry, from the Alexandria database.

```
4
Lattice="2.997 -3.826 0.000 2.997 3.826 0.000 0.000 0.000 3.013" Properties=species:S:1:pos:R:3 pbc="T T T"
Ta 0.000 0.000 1.507
Rh 1.498 -1.913 0.000
Rh 1.498 1.913 0.000
Pb 2.997 0.000 1.507
```



Record 12
The following is a PBE calculation of crystalline TaRhPb2 at its relaxed geometry, from the Alexandria database.

Summary:
The distance to the lowest polymorph of the same formula is 390 meV/atom.

```
4
Lattice="-4.913 0.120 0.401 -0.417 -1.069 -4.796 -0.020 -3.252 0.727" Properties=species:S:1:pos:R:3 pbc="T T T"
Ta -0.010 -1.626 0.363
Rh -2.675 -2.100 -1.834
Pb -2.457 0.060 0.201
Pb -0.209 -0.534 -2.398
```



Record 13
The following is a PBE calculation of crystalline TaRh2Pb at its relaxed geometry, from the Alexandria database.

```
4
Lattice="3.230 -2.749 2.452 -2.270 -4.248 0.895 0.538 2.416 -4.227" Properties=species:S:1:pos:R:3 pbc="T T T"
Ta 0.480 -3.498 1.673
Rh 2.124 -1.915 -0.051
Rh -0.626 -2.665 -0.830
Pb 0.000 0.000 0.000
```



Record 14
The following is a PBE calculation of crystalline TaRh2Pb at its relaxed geometry, from the Alexandria database.

```
4
Lattice="-3.478 7.047 4.209 -5.130 7.128 1.533 -6.050 5.264 3.894" Properties=species:S:1:pos:R:3 pbc="T T T"
Ta -7.329 9.720 4.818
Rh -11.147 14.783 7.327
Rh -3.512 4.657 2.308
Pb 0.000 0.000 0.000
```



Record 15
The following is a PBE calculation of crystalline TaRhPb2 at its relaxed geometry, from the Alexandria database.

Summary:
The distance to the lowest polymorph of the same formula is 418 meV/atom.

```
4
Lattice="-0.327 2.118 2.340 2.346 -3.113 3.147 5.683 0.682 0.177" Properties=species:S:1:pos:R:3 pbc="T T T"
Ta 4.014 -1.215 1.662
Rh 1.009 -0.497 2.743
Pb 0.000 0.000 0.000
Pb 2.678 1.400 1.259
```



Record 16
The following is a PBE calculation of crystalline TaRh2Pb at its relaxed geometry, from the Alexandria database.

```
4
Lattice="-4.156 -0.988 1.880 -1.625 -2.619 3.505 -0.482 3.172 3.935" Properties=species:S:1:pos:R:3 pbc="T T T"
Ta -2.891 -1.803 2.693
Rh -1.738 1.653 4.367
Rh -4.525 -2.088 4.954
Pb -0.241 1.586 1.968
```



Record 17
The following is a PBE calculation of crystalline Ta2RhPb at its relaxed geometry, from the Alexandria database.

```
4
Lattice="-2.032 2.032 4.456 2.032 -2.032 4.456 2.032 2.032 -4.456" Properties=species:S:1:pos:R:3 pbc="T T T"
Ta 0.000 0.000 0.000
Ta 2.032 0.000 2.228
Rh 0.000 2.032 2.228
Pb 0.000 0.000 4.456
```



Record 18
The following is a PBE calculation of crystalline TaRhPb2 at its relaxed geometry, from the Alexandria database.

Summary:
The distance to the lowest polymorph of the same formula is 249 meV/atom.

```
4
Lattice="1.740 -5.655 0.000 1.740 5.655 0.000 0.000 0.000 4.432" Properties=species:S:1:pos:R:3 pbc="T T T"
Ta 1.740 -2.145 2.216
Rh 1.740 -3.522 0.000
Pb 1.740 4.607 0.000
Pb 1.740 0.991 2.216
```



Record 19
The following is a PBE calculation of crystalline TaRh2Pb at its relaxed geometry, from the Alexandria database.

```
4
Lattice="-0.029 -1.690 -3.115 3.195 1.335 -0.753 2.512 -4.614 2.480" Properties=species:S:1:pos:R:3 pbc="T T T"
Ta 1.086 -1.994 1.072
Rh 2.509 -4.608 2.476
Rh 2.302 -1.497 -1.225
Pb 3.550 -3.790 0.007
```



Record 20
The following is a PBE calculation of crystalline TaRhPb2 at its relaxed geometry, from the Alexandria database.

Summary:
The distance to the lowest polymorph of the same formula is 463 meV/atom.

```
4
Lattice="-4.492 -3.218 0.869 4.651 -2.710 1.523 -0.218 -0.086 3.119" Properties=species:S:1:pos:R:3 pbc="T T T"
Ta -0.030 -3.007 2.756
Rh -0.109 -0.043 1.559
Pb 2.325 -1.355 0.762
Pb -2.246 -1.609 0.435
```



Number 1: total moment 0.0 μB/f.u., D(E_F) 2.677 states/eV/f.u., E_tot -7.4560 eV per atom. Number 2: total moment 0.0 μB/f.u., D(E_F) 2.597 states/eV/f.u., E_tot -7.4230 eV per atom. Number 3: total moment 0.0 μB/f.u., D(E_F) 2.475 states/eV/f.u., E_tot -7.8419 eV per atom. Number 4: total moment 0.0 μB/f.u., D(E_F) 3.016 states/eV/f.u., E_tot -8.4538 eV per atom. Number 5: total moment 0.0 μB/f.u., D(E_F) 5.891 states/eV/f.u., E_tot -8.3529 eV per atom. Number 6: total moment 0.0 μB/f.u., D(E_F) 3.902 states/eV/f.u., E_tot -6.2210 eV per atom. Number 7: total moment 0.0 μB/f.u., D(E_F) 2.826 states/eV/f.u., E_tot -6.2331 eV per atom. Number 8: total moment 0.0 μB/f.u., D(E_F) 3.282 states/eV/f.u., E_tot -8.5781 eV per atom. Number 9: total moment 0.0 μB/f.u., D(E_F) 4.288 states/eV/f.u., E_tot -6.1970 eV per atom. Number 10: total moment 0.0 μB/f.u., D(E_F) 3.813 states/eV/f.u., E_tot -7.5758 eV per atom. Number 11: total moment 0.0 μB/f.u., D(E_F) 2.671 states/eV/f.u., E_tot -7.5991 eV per atom. Number 12: total moment 0.0 μB/f.u., D(E_F) 2.435 states/eV/f.u., E_tot -6.2678 eV per atom. Number 13: total moment 0.0 μB/f.u., D(E_F) 3.745 states/eV/f.u., E_tot -7.6968 eV per atom. Number 14: total moment 0.0 μB/f.u., D(E_F) 2.491 states/eV/f.u., E_tot -7.6706 eV per atom. Number 15: total moment 0.0 μB/f.u., D(E_F) 3.709 states/eV/f.u., E_tot -6.2390 eV per atom. Number 16: total moment 0.0 μB/f.u., D(E_F) 2.885 states/eV/f.u., E_tot -7.6357 eV per atom. Number 17: total moment 0.0 μB/f.u., D(E_F) 3.877 states/eV/f.u., E_tot -8.4740 eV per atom. Number 18: total moment 0.0 μB/f.u., D(E_F) 2.115 states/eV/f.u., E_tot -6.4086 eV per atom. Number 19: total moment 0.0 μB/f.u., D(E_F) 2.325 states/eV/f.u., E_tot -7.5845 eV per atom. Number 20: total moment 0.0 μB/f.u., D(E_F) 2.282 states/eV/f.u., E_tot -6.1940 eV per atom.